This record from the Alexandria database describes Ca2HfCoAu after structural relaxation. The functional is PBE.

Space-group type: P4/mmm (123)
ΔH_f (0 K): 0.8415 eV/atom
Total moment: 0.0 μB/cell

Cell: 5.973 4.299 5.973 Å, 90.00 90.00 90.00°
Fractional coordinates of all 5 atoms:
1 Hf 0.000 0.000 0.000
2 Ca 0.000 0.000 0.500
3 Ca 0.500 0.000 0.000
4 Au 0.500 0.500 0.500
5 Co 0.000 0.500 0.000